# TlCrSi

A relaxed TlCrSi crystal (PBE-GGA, Alexandria via LeMat-Bulk).

As for the density of states at the Fermi level: 0.8745 states/eV/atom. Its energy relative to the lowest polymorph listed for this composition is 0.59 eV/f.u. For the uncorrected formation energy, the calculation gives 0.597 eV/atom. For the electronic total energy, the calculation gives -5.207 eV/atom. For the magnetization, the calculation gives 0.5 μB per formula unit. The density is 8.801 g/cm³.

The structure belongs to space group P-6m2 (No. 187); the cell edges are 4.0654, 4.0654 and 3.7499 Å and the angles 90.00°, 90.00° and 120.00°. The inequivalent atoms are Tl at (0.0000, 0.0000, 0.0000), Cr at (0.6667, 0.3333, 0.5000) and Si at (0.3333, 0.6667, 0.5000).

***

# TbSnIrAu

A relaxed TbSnIrAu crystal (PBE-GGA, Alexandria via LeMat-Bulk).

As for the density of states at the Fermi level: 0.3204 states/eV/atom. For the electronic total energy, the calculation gives -5.692 eV/atom. For the magnetization, the calculation gives 0.0 μB per formula unit. The density is 13.632 g/cm³.

The structure belongs to space group F-43m (No. 216); the cell edges are 6.875, 6.875 and 6.875 Å and the angles 90.00°, 90.00° and 90.00°. The inequivalent atoms are Tb at (0.000, 0.000, 0.000), Sn at (0.000, 0.000, 0.500), Ir at (0.250, 0.250, 0.750) and Au at (0.250, 0.250, 0.250).

***

# YIn2Te

A relaxed YIn2Te crystal (PBE-GGA, Alexandria via LeMat-Bulk).

As for the density of states at the Fermi level: 0.7010 states/eV/atom. For the uncorrected formation energy, the calculation gives -0.078 eV/atom. For the electronic total energy, the calculation gives -3.849 eV/atom. For the magnetization, the calculation gives 0.0 μB per formula unit. The density is 6.599 g/cm³.

The structure belongs to space group Cmmm (No. 65); the cell edges are 4.011, 5.687 and 9.842 Å and the angles 90.00°, 90.00° and 90.00°. The inequivalent atoms are Y at (0.000, 0.000, 0.000), In at (0.000, 0.500, 0.252) and Te at (0.000, 0.000, 0.500).

***

# SrSmMg2Cd4

A relaxed SrSmMg2Cd4 crystal (PBE-GGA, Alexandria via LeMat-Bulk).

As for the density of states at the Fermi level: 0.4753 states/eV/atom. For the electronic total energy, the calculation gives -1.937 eV/atom. For the magnetization, the calculation gives 0.0 μB per formula unit. The density is 6.017 g/cm³.

The structure belongs to space group R-3m (No. 166, hexagonal axes); the cell edges are 5.2180, 5.2180 and 25.8493 Å and the angles 90.00°, 90.00° and 120.00°. The inequivalent atoms are Sr at (0.0000, 0.0000, 0.0000), Sm at (0.0000, 0.0000, 0.5000), Mg at (0.0000, 0.0000, 0.2480), Cd at (0.0000, 0.0000, 0.1266) and Cd at (0.0000, 0.0000, 0.3782).

***

What did the first record say?
# TlCrSi

A relaxed TlCrSi crystal (PBE-GGA, Alexandria via LeMat-Bulk).

As for the density of states at the Fermi level: 0.8745 states/eV/atom. Its energy relative to the lowest polymorph listed for this composition is 0.59 eV/f.u. For the uncorrected formation energy, the calculation gives 0.597 eV/atom. For the electronic total energy, the calculation gives -5.207 eV/atom. For the magnetization, the calculation gives 0.5 μB per formula unit. The density is 8.801 g/cm³.

The structure belongs to space group P-6m2 (No. 187); the cell edges are 4.0654, 4.0654 and 3.7499 Å and the angles 90.00°, 90.00° and 120.00°. The inequivalent atoms are Tl at (0.0000, 0.0000, 0.0000), Cr at (0.6667, 0.3333, 0.5000) and Si at (0.3333, 0.6667, 0.5000).

***

Q: electronic total energy of number 2 (TbSnIrAu)?
A: -5.692 eV/atom